Entry 1:
{"formula": "KLiO", "functional": "PBE-GGA", "state": "optimized geometry", "e_tot_ev_per_atom": -3.65, "raw_formation_energy_mev_per_atom": -994, "total_magnetization_mub_per_fu": 0.0, "dos_at_fermi_per_ev_fu": 0.02, "cell": [[3.0545, 0.0000, 0.0000], [0.0000, 3.0545, 0.0000], [-1.5273, -1.5273, 4.6259]], "species": ["K", "O", "Li"], "frac_coords": [[0.0141, 0.0141, 0.0281], [0.7272, 0.7272, 0.4544], [0.2587, 0.2587, 0.5175]]}



Entry 2:
{"formula": "CaErPdPb", "functional": "PBE-GGA", "state": "optimized geometry", "e_tot_ev_per_atom": -4.45, "total_magnetization_mub_per_fu": 0.0, "dos_at_fermi_per_ev_fu": 2.47, "cell": [[5.1982, 0.0000, 0.0000], [2.5991, 4.5018, 0.0000], [2.5991, 1.5006, 4.2443]], "species": ["Pb", "Ca", "Pd", "Er"], "frac_coords": [[0.2500, 0.2500, 0.2500], [0.5000, 0.5000, 0.5000], [0.7500, 0.7500, 0.7500], [0.0000, 0.0000, 0.0000]]}



Entry 3:
{"formula": "TlPd2Ru", "functional": "PBE-GGA", "state": "optimized geometry", "e_tot_ev_per_atom": -5.22, "total_magnetization_mub_per_fu": 2.0, "polymorph_energy_ev_per_fu": 0.00, "dos_at_fermi_per_ev_fu": 4.87, "cell": [[0.0000, 3.2448, 3.2448], [3.2448, 0.0000, 3.2448], [3.2448, 3.2448, 0.0000]], "species": ["Ru", "Tl", "Pd", "Pd"], "frac_coords": [[0.0000, 0.0000, 0.0000], [0.5000, 0.5000, 0.5000], [0.2500, 0.2500, 0.2500], [0.7500, 0.7500, 0.7500]]}



Entry 4:
{"formula": "AcGeAsAu", "functional": "PBE-GGA", "state": "optimized geometry", "e_tot_ev_per_atom": -4.46, "total_magnetization_mub_per_fu": 0.0, "dos_at_fermi_per_ev_fu": 3.02, "cell": [[-4.9574, 0.5882, -1.4085], [-3.8006, -1.3430, 3.2647], [-2.9141, 3.6631, 2.2351]], "species": ["Ge", "Ac", "Au", "As"], "frac_coords": [[0.2500, 0.2500, 0.2500], [0.5000, 0.5000, 0.5000], [0.7500, 0.7500, 0.7500], [0.0000, 0.0000, 0.0000]]}



Entry 5:
{"formula": "Tm8ZnCd2", "functional": "PBE-GGA", "state": "optimized geometry", "e_tot_ev_per_atom": -3.66, "total_magnetization_mub_per_fu": 0.0, "dos_at_fermi_per_ev_fu": 9.30, "cell": [[5.1724, 0.0000, 0.0000], [0.0000, 6.8411, 0.1501], [-2.5862, -2.7508, 8.3976]], "species": ["Tm", "Tm", "Tm", "Tm", "Tm", "Tm", "Tm", "Tm", "Zn", "Cd", "Cd"], "frac_coords": [[0.4073, 0.5485, 0.8146], [0.6601, 0.9658, 0.3201], [0.8028, 0.7037, 0.6057], [0.9787, 0.2251, 0.9575], [0.1972, 0.2963, 0.3943], [0.3399, 0.0342, 0.6799], [0.5927, 0.4515, 0.1854], [0.0213, 0.7749, 0.0425], [0.5000, 0.0000, 0.0000], [0.8149, 0.2826, 0.6299], [0.1851, 0.7174, 0.3701]]}



Entry 6:
{"formula": "Rb2SrPbO4", "functional": "PBE-GGA", "state": "optimized geometry", "e_tot_ev_per_atom": -4.91, "raw_formation_energy_mev_per_atom": -1519, "total_magnetization_mub_per_fu": 0.0, "cell": [[-5.3328, 5.0253, -1.5201], [-5.2683, -5.1527, 1.3030], [5.4217, 1.4813, 5.2167]], "species": ["Rb", "Rb", "Rb", "Rb", "Sr", "Sr", "Pb", "Pb", "O", "O", "O", "O", "O", "O", "O", "O"], "frac_coords": [[0.5000, 0.0000, 0.0000], [0.5000, 0.0000, 0.5000], [0.0000, 0.0000, 0.5000], [0.5000, 0.5000, 0.0000], [0.0000, 0.5000, 0.0000], [0.0000, 0.5000, 0.5000], [0.5000, 0.5000, 0.5000], [0.0000, 0.0000, 0.0000], [0.1846, 0.7668, 0.9757], [0.7332, 0.3154, 0.5243], [0.2668, 0.6846, 0.4757], [0.8154, 0.2332, 0.0243], [0.7593, 0.7412, 0.9523], [0.7588, 0.7407, 0.5477], [0.2412, 0.2593, 0.4523], [0.2407, 0.2588, 0.0477]]}